Material: Ac2ScSb4Pd3
Method: DFT, PBE-GGA
State: optimized geometry

Output
formation energy without anion corrections = -898 meV per atom

a b c (Å): 4.6892 4.6892 11.4663
angles (deg): 90.00 90.00 90.00
Space group P-4m2 (No. 115)
Unique sites:
Ac  0.0000  0.5000  0.2354
Sc  0.0000  0.0000  0.5000
Sb  0.0000  0.0000  0.0000
Sb  0.0000  0.5000  0.6416
Sb  0.5000  0.5000  0.0000
Pd  0.0000  0.5000  0.8754
Pd  0.5000  0.5000  0.5000